Rb3Y3TiO8 | PBE-GGA | optimized geometry Values from VASP.

Structure (Quantum ESPRESSO input):
```
&SYSTEM
  ibrav = 0, nat = 15, ntyp = 4
/
ATOMIC_SPECIES
Rb 85.47 Rb.upf
Y 88.91 Y.upf
Ti 47.87 Ti.upf
O 16.00 O.upf
ATOMIC_POSITIONS angstrom
Rb -1.694 -0.978 6.606
Rb -1.694 0.978 13.211
Rb 0.000 1.956 6.606
Y -3.388 0.000 9.909
Y -1.694 0.978 3.303
Y 1.694 0.978 3.303
Ti 0.000 0.000 9.909
O 0.000 0.000 4.445
O -1.517 -0.876 10.978
O 0.000 -1.751 8.839
O -1.517 0.876 8.839
O 1.517 -0.876 10.978
O 0.000 1.751 10.978
O 1.517 0.876 8.839
O 0.000 0.000 15.372
CELL_PARAMETERS angstrom
3.388 1.956 6.606
-3.388 1.956 6.606
0.000 -3.912 6.606
```

Output
The uncorrected formation energy comes out at -41.44 eV/f.u.

***

Ba5Pt | PBE-GGA | optimized geometry Values from VASP.

Structure (Quantum ESPRESSO input):
```
&SYSTEM
  ibrav = 0, nat = 6, ntyp = 2
/
ATOMIC_SPECIES
Ba 137.33 Ba.upf
Pt 195.08 Pt.upf
ATOMIC_POSITIONS angstrom
Ba 0.000 0.000 0.000
Ba 0.000 0.000 7.131
Ba 0.000 0.000 10.701
Ba 2.053 2.053 3.478
Ba 2.053 2.053 14.354
Pt 2.053 2.053 8.916
CELL_PARAMETERS angstrom
4.105 0.000 0.000
0.000 4.105 0.000
0.000 0.000 17.832
```

Output
For the excess energy over the best structure of this formula in the dataset, the calculation gives 57 meV per atom. As for the energy relative to the elements: -0.211 eV/atom.

***

Nb2AgAu2 | PBE-GGA | optimized geometry Values from VASP.

Structure (Quantum ESPRESSO input):
```
&SYSTEM
  ibrav = 0, nat = 10, ntyp = 3
/
ATOMIC_SPECIES
Nb 92.91 Nb.upf
Ag 107.87 Ag.upf
Au 196.97 Au.upf
ATOMIC_POSITIONS angstrom
Nb 1.376 2.615 0.000
Nb 2.615 6.607 0.000
Nb 5.368 1.376 0.000
Nb 6.607 5.368 0.000
Ag 0.000 0.000 1.478
Ag 3.992 3.992 1.478
Au 0.995 4.986 1.478
Au 2.997 0.995 1.478
Au 4.986 6.988 1.478
Au 6.988 2.997 1.478
CELL_PARAMETERS angstrom
7.983 0.000 0.000
0.000 7.983 0.000
0.000 0.000 2.957
```

Output
For the excess energy over the best structure of this formula in the dataset, the calculation gives 0 meV per atom. As for the energy relative to the elements: 0.166 eV/atom.